# 1
This record from Alexandria describes CrCuGeRu after structural relaxation. The functional is GGA-PBE.

Geometry as CIF:
```
data_CrCuGeRu
_chemical_formula_sum 'Cr4 Cu4 Ge4 Ru4'
_symmetry_space_group_name_H-M 'F -4 3 m'
_symmetry_Int_Tables_number 216
_symmetry_space_group_name_Hall 'F -4 2 3'
_cell_length_a 5.9952
_cell_length_b 5.9952
_cell_length_c 5.9952
_cell_angle_alpha 90.00
_cell_angle_beta 90.00
_cell_angle_gamma 90.00
loop_
_atom_site_label
_atom_site_type_symbol
_atom_site_fract_x
_atom_site_fract_y
_atom_site_fract_z
Cr1 Cr 0.0000 0.0000 0.0000
Cu1 Cu 0.2500 0.2500 0.2500
Ge1 Ge 0.2500 0.2500 0.7500
Ru1 Ru 0.0000 0.0000 0.5000
```

Output
- VASP energy (eV for the cell shown) = -109.87
- M_tot (μB/f.u.) = 2.91
- calculated density (g/cm³) = 8.92

***

# 2
This record from Alexandria describes CrCu2GeS4 after structural relaxation. The functional is GGA-PBE.

Geometry as CIF:
```
data_CrCu2GeS4
_chemical_formula_sum 'Cr2 Cu4 Ge2 S8'
_symmetry_space_group_name_H-M 'I -4 2 m'
_symmetry_Int_Tables_number 121
_symmetry_space_group_name_Hall 'I -4 2'
_cell_length_a 5.4678
_cell_length_b 5.4678
_cell_length_c 10.2706
_cell_angle_alpha 90.00
_cell_angle_beta 90.00
_cell_angle_gamma 90.00
loop_
_atom_site_label
_atom_site_type_symbol
_atom_site_fract_x
_atom_site_fract_y
_atom_site_fract_z
Cr1 Cr 0.0000 0.0000 0.0000
Cu1 Cu 0.0000 0.5000 0.2500
Ge1 Ge 0.0000 0.0000 0.5000
S1 S 0.2416 0.2416 0.3731
```

Output
- VASP energy (eV for the cell shown) = -83.18
- M_tot (μB/f.u.) = 4.00
- calculated density (g/cm³) = 4.11

***

# 3
This record from Alexandria describes CrCuGeS2 after structural relaxation. The functional is GGA-PBE.

Geometry as CIF:
```
data_CrCuGeS2
_chemical_formula_sum 'Cr1 Cu1 Ge1 S2'
_symmetry_space_group_name_H-M 'P 4/m m m'
_symmetry_Int_Tables_number 123
_symmetry_space_group_name_Hall '-P 4 2'
_cell_length_a 4.8823
_cell_length_b 4.8823
_cell_length_c 4.4054
_cell_angle_alpha 90.00
_cell_angle_beta 90.00
_cell_angle_gamma 90.00
loop_
_atom_site_label
_atom_site_type_symbol
_atom_site_fract_x
_atom_site_fract_y
_atom_site_fract_z
Cr1 Cr 0.0000 0.0000 0.0000
Cu1 Cu 0.5000 0.5000 0.0000
Ge1 Ge 0.5000 0.5000 0.5000
S1 S 0.0000 0.5000 0.5000
```

Output
- VASP energy (eV for the cell shown) = -23.23
- M_tot (μB/f.u.) = 4.30
- calculated density (g/cm³) = 3.99

***

Please write out number 3 again, unchanged.
This record from Alexandria describes CrCuGeS2 after structural relaxation. The functional is GGA-PBE.

Geometry as CIF:
```
data_CrCuGeS2
_chemical_formula_sum 'Cr1 Cu1 Ge1 S2'
_symmetry_space_group_name_H-M 'P 4/m m m'
_symmetry_Int_Tables_number 123
_symmetry_space_group_name_Hall '-P 4 2'
_cell_length_a 4.8823
_cell_length_b 4.8823
_cell_length_c 4.4054
_cell_angle_alpha 90.00
_cell_angle_beta 90.00
_cell_angle_gamma 90.00
loop_
_atom_site_label
_atom_site_type_symbol
_atom_site_fract_x
_atom_site_fract_y
_atom_site_fract_z
Cr1 Cr 0.0000 0.0000 0.0000
Cu1 Cu 0.5000 0.5000 0.0000
Ge1 Ge 0.5000 0.5000 0.5000
S1 S 0.0000 0.5000 0.5000
```

Output
- VASP energy (eV for the cell shown) = -23.23
- M_tot (μB/f.u.) = 4.30
- calculated density (g/cm³) = 3.99